# Cs3TbEr2S6 | Alexandria via LeMat-Bulk | PBE | optimized geometry
data_Cs3TbEr2S6
_chemical_formula_sum 'Cs6 Tb2 Er4 S12'
_cell_length_a 7.083
_cell_length_b 12.268
_cell_length_c 8.399
_cell_angle_alpha 90.00
_cell_angle_beta 106.32
_cell_angle_gamma 90.00
_symmetry_space_group_name_H-M 'C 1 2/m 1'
_symmetry_Int_Tables_number 12
loop_
_symmetry_equiv_pos_as_xyz
'x,y,z'
'-x,-y,-z'
'-x,y,-z'
'x,-y,z'
'x+1/2,y+1/2,z'
'-x+1/2,-y+1/2,-z'
'-x+1/2,y+1/2,-z'
'x+1/2,-y+1/2,z'
loop_
_atom_site_label
_atom_site_type_symbol
_atom_site_fract_x
_atom_site_fract_y
_atom_site_fract_z
_atom_site_occupancy
Cs1 Cs 0.000 0.000 0.000 1
Cs2 Cs 0.000 0.334 0.000 1
Tb1 Tb 0.000 0.500 0.500 1
Er1 Er 0.000 0.167 0.500 1
S1 S 0.224 0.000 0.681 1
S2 S 0.229 0.332 0.681 1
# total moment	0.000	μB per formula unit
# formation energy without anion corrections	-1.83	eV/atom



# Tl2Pb2Cl | Alexandria via LeMat-Bulk | PBE | optimized geometry
data_Tl2Pb2Cl
_chemical_formula_sum 'Tl4 Pb4 Cl2'
_cell_length_a 8.832
_cell_length_b 8.832
_cell_length_c 4.198
_cell_angle_alpha 90.00
_cell_angle_beta 90.00
_cell_angle_gamma 90.00
_symmetry_space_group_name_H-M 'P 4/m b m'
_symmetry_Int_Tables_number 127
_symmetry_space_group_name_Hall '-P 4 2ab'
loop_
_atom_site_label
_atom_site_type_symbol
_atom_site_fract_x
_atom_site_fract_y
_atom_site_fract_z
_atom_site_occupancy
Tl1 Tl 0.182 0.318 0.000 1
Pb1 Pb 0.124 0.624 0.500 1
Cl1 Cl 0.000 0.000 0.000 1
# total moment	0.000	μB per formula unit
# formation energy without anion corrections	-0.11	eV/atom



# YSc2AlPd4 | Alexandria via LeMat-Bulk | PBE | optimized geometry
data_YSc2AlPd4
_chemical_formula_sum 'Y3 Sc6 Al3 Pd12'
_cell_length_a 4.6210
_cell_length_b 4.6210
_cell_length_c 23.8218
_cell_angle_alpha 90.00
_cell_angle_beta 90.00
_cell_angle_gamma 120.00
_symmetry_space_group_name_H-M 'R -3 m'
_symmetry_Int_Tables_number 166
_symmetry_space_group_name_Hall '-R 3 2"'
loop_
_atom_site_label
_atom_site_type_symbol
_atom_site_fract_x
_atom_site_fract_y
_atom_site_fract_z
_atom_site_occupancy
Y1 Y 0.0000 0.0000 0.0000 1
Sc1 Sc 0.0000 0.0000 0.2431 1
Al1 Al 0.0000 0.0000 0.5000 1
Pd1 Pd 0.0000 0.0000 0.1290 1
Pd2 Pd 0.0000 0.0000 0.3922 1
# total moment	0.000	μB per formula unit
# ΔH_f (0 K)	-0.877	eV per atom



# Tm7MgGa4 | Alexandria via LeMat-Bulk | PBE | optimized geometry
data_Tm7MgGa4
_chemical_formula_sum 'Tm14 Mg2 Ga8'
_cell_length_a 13.442
_cell_length_b 5.469
_cell_length_c 9.966
_cell_angle_alpha 90.00
_cell_angle_beta 124.78
_cell_angle_gamma 90.00
_symmetry_space_group_name_H-M 'C 1 2/m 1'
_symmetry_Int_Tables_number 12
loop_
_symmetry_equiv_pos_as_xyz
'x,y,z'
'-x,-y,-z'
'-x,y,-z'
'x,-y,z'
'x+1/2,y+1/2,z'
'-x+1/2,-y+1/2,-z'
'-x+1/2,y+1/2,-z'
'x+1/2,-y+1/2,z'
loop_
_atom_site_label
_atom_site_type_symbol
_atom_site_fract_x
_atom_site_fract_y
_atom_site_fract_z
_atom_site_occupancy
Tm1 Tm 0.000 0.000 0.000 1
Tm2 Tm 0.063 0.500 0.374 1
Tm3 Tm 0.195 0.000 0.635 1
Tm4 Tm 0.215 0.500 0.884 1
Mg1 Mg 0.000 0.500 0.000 1
Ga1 Ga 0.055 0.000 0.761 1
Ga2 Ga 0.191 0.000 0.334 1
# total moment	0.000	μB per formula unit
# ΔH_f (0 K)	-0.181	eV per atom



# Th2ScTi | Alexandria via LeMat-Bulk | PBE | optimized geometry
data_Th2ScTi
_chemical_formula_sum 'Th6 Sc3 Ti3'
_cell_length_a 3.2989
_cell_length_b 3.2989
_cell_length_c 34.5183
_cell_angle_alpha 90.00
_cell_angle_beta 90.00
_cell_angle_gamma 120.00
_symmetry_space_group_name_H-M 'R -3 m'
_symmetry_Int_Tables_number 166
_symmetry_space_group_name_Hall '-R 3 2"'
loop_
_atom_site_label
_atom_site_type_symbol
_atom_site_fract_x
_atom_site_fract_y
_atom_site_fract_z
_atom_site_occupancy
Th1 Th 0.0000 0.0000 0.0830 1
Sc1 Sc 0.0000 0.0000 0.5000 1
Ti1 Ti 0.0000 0.0000 0.0000 1
# total moment	0.001	μB per formula unit
# ΔH_f (0 K)	0.418	eV per atom



# NdRu6 | Alexandria via LeMat-Bulk | PBE | optimized geometry
data_NdRu6
_chemical_formula_sum 'Nd2 Ru12'
_cell_length_a 6.708
_cell_length_b 6.708
_cell_length_c 6.708
_cell_angle_alpha 90.00
_cell_angle_beta 90.00
_cell_angle_gamma 90.00
_symmetry_space_group_name_H-M 'I m -3 m'
_symmetry_Int_Tables_number 229
_symmetry_space_group_name_Hall '-I 4 2 3'
loop_
_atom_site_label
_atom_site_type_symbol
_atom_site_fract_x
_atom_site_fract_y
_atom_site_fract_z
_atom_site_occupancy
Nd1 Nd 0.000 0.000 0.000 1
Ru1 Ru 0.000 0.250 0.500 1
# total moment	0.000	μB per formula unit
# ΔH_f (0 K)	0.654	eV per atom